# 1
## SrMnAs2 (PBE)

Data for crystalline SrMnAs2 at its relaxed geometry.

a = 5.213 Å, b = 5.213 Å, c = 15.948 Å
α = 90.00°, β = 90.00°, γ = 90.00°
Space group I-42d (No. 122)
One atom of each set of equivalent atoms:
Sr 0.000 0.000 0.000 (multiplicity 4)
Mn 0.000 0.000 0.500 (multiplicity 4)
As 0.076 0.250 0.625 (multiplicity 8)

* M_tot: 15.23 μB/cell
* VASP energy: -5.410 eV/atom
* formation energy from the elements: -0.37 eV per atom

***

# 2
## SrMn2As2 (PBE)

Data for crystalline SrMn2As2 at its relaxed geometry.

a = 4.0728 Å, b = 4.0728 Å, c = 7.3480 Å
α = 90.00°, β = 90.00°, γ = 120.00°
Space group P-3m1 (No. 164)
One atom of each set of equivalent atoms:
Sr 0.0000 0.0000 0.0000 (multiplicity 1)
Mn 0.3333 0.6667 0.6122 (multiplicity 2)
As 0.3333 0.6667 0.2820 (multiplicity 2)

* M_tot: 5.81 μB/cell
* VASP energy: -6.310 eV/atom
* formation energy from the elements: -0.45 eV per atom

***

# 3
## SrMn2As (PBE)

Data for crystalline SrMn2As at its relaxed geometry.

a = 3.423 Å, b = 3.423 Å, c = 7.377 Å
α = 90.00°, β = 90.00°, γ = 90.00°
Space group P4/mmm (No. 123)
One atom of each set of equivalent atoms:
Sr 0.000 0.000 0.000 (multiplicity 1)
Mn 0.500 0.500 0.330 (multiplicity 2)
As 0.000 0.000 0.500 (multiplicity 1)

* M_tot: 7.47 μB/cell
* VASP energy: -5.868 eV/atom
* formation energy from the elements: 0.30 eV per atom

***

# 4
## SrMn2As (PBE)

Data for crystalline SrMn2As at its relaxed geometry.

a = 4.495 Å, b = 5.743 Å, c = 7.217 Å
α = 90.00°, β = 90.00°, γ = 90.00°
Space group Imm2 (No. 44)
One atom of each set of equivalent atoms:
Sr 0.000 0.000 0.000 (multiplicity 2)
Mn 0.000 0.000 0.454 (multiplicity 2)
Mn 0.000 0.500 0.177 (multiplicity 2)
As 0.000 0.500 0.818 (multiplicity 2)

* M_tot: 14.84 μB/cell
* VASP energy: -5.874 eV/atom
* formation energy from the elements: 0.29 eV per atom

***

# 5
## Sr4MnAs2 (PBE)

Data for crystalline Sr4MnAs2 at its relaxed geometry.

a = 5.359 Å, b = 5.359 Å, c = 16.763 Å
α = 90.00°, β = 90.00°, γ = 90.00°
Space group I4/mmm (No. 139)
One atom of each set of equivalent atoms:
Sr 0.000 0.000 0.188 (multiplicity 4)
Sr 0.000 0.500 0.000 (multiplicity 4)
Mn 0.000 0.000 0.000 (multiplicity 2)
As 0.000 0.000 0.370 (multiplicity 4)

* M_tot: 6.35 μB/cell
* VASP energy: -3.730 eV/atom
* formation energy from the elements: -0.13 eV per atom

***

# 6
## SrMnAs2 (PBE)

Data for crystalline SrMnAs2 at its relaxed geometry.

a = 3.906 Å, b = 3.906 Å, c = 11.251 Å
α = 90.00°, β = 90.00°, γ = 90.00°
Space group P4/nmm (No. 129, origin choice 2)
One atom of each set of equivalent atoms:
Sr 0.250 0.250 0.228 (multiplicity 2)
Mn 0.250 0.750 0.500 (multiplicity 2)
As 0.250 0.250 0.629 (multiplicity 2)
As 0.250 0.750 0.000 (multiplicity 2)

* M_tot: 3.47 μB/cell
* VASP energy: -5.633 eV/atom
* formation energy from the elements: -0.60 eV per atom

***

# 7
## SrMn2As (PBE)

Data for crystalline SrMn2As at its relaxed geometry.

a = 4.0987 Å, b = 4.0987 Å, c = 17.3437 Å
α = 90.00°, β = 90.00°, γ = 120.00°
Space group R3m (No. 160, hexagonal axes)
One atom of each set of equivalent atoms:
Sr 0.0000 0.0000 0.0000 (multiplicity 3)
Mn 0.0000 0.0000 0.4875 (multiplicity 3)
Mn 0.0000 0.0000 0.8019 (multiplicity 3)
As 0.0000 0.0000 0.2059 (multiplicity 3)

* M_tot: 0.69 μB/cell
* VASP energy: -6.402 eV/atom
* formation energy from the elements: -0.23 eV per atom

***

# 8
## SrMnAs2 (PBE)

Data for crystalline SrMnAs2 at its relaxed geometry.

a = 4.195 Å, b = 6.017 Å, c = 7.301 Å
α = 90.00°, β = 90.00°, γ = 90.00°
Space group Cmmm (No. 65)
One atom of each set of equivalent atoms:
Sr 0.000 0.000 0.000 (multiplicity 2)
Mn 0.000 0.000 0.500 (multiplicity 2)
As 0.000 0.500 0.300 (multiplicity 4)

* M_tot: 7.41 μB/cell
* VASP energy: -5.340 eV/atom
* formation energy from the elements: -0.30 eV per atom

***

# 9
## SrMnAs2 (PBE)

Data for crystalline SrMnAs2 at its relaxed geometry.

a = 6.517 Å, b = 7.030 Å, c = 3.935 Å
α = 90.00°, β = 90.00°, γ = 90.00°
Space group Cmmm (No. 65)
One atom of each set of equivalent atoms:
Sr 0.000 0.000 0.000 (multiplicity 2)
Mn 0.000 0.500 0.000 (multiplicity 2)
As 0.250 0.250 0.500 (multiplicity 4)

* M_tot: 8.80 μB/cell
* VASP energy: -5.198 eV/atom
* formation energy from the elements: -0.16 eV per atom

***

# 10
## Sr2MnAs2 (PBE)

Data for crystalline Sr2MnAs2 at its relaxed geometry.

a = 6.770 Å, b = 12.914 Å, c = 6.365 Å
α = 90.00°, β = 90.00°, γ = 90.00°
Space group Ibam (No. 72)
One atom of each set of equivalent atoms:
Sr 0.186 0.142 0.000 (multiplicity 8)
Mn 0.000 0.500 0.250 (multiplicity 4)
As 0.214 0.388 0.000 (multiplicity 8)

* M_tot: 19.65 μB/cell
* VASP energy: -5.207 eV/atom
* formation energy from the elements: -0.84 eV per atom

***

# 11
## SrMn2As (PBE)

Data for crystalline SrMn2As at its relaxed geometry.

a = 3.686 Å, b = 3.977 Å, c = 6.195 Å
α = 90.00°, β = 99.98°, γ = 90.00°
Space group Pm (No. 6)
One atom of each set of equivalent atoms:
Sr 0.000 0.000 0.000 (multiplicity 1)
Mn 0.160 0.500 0.550 (multiplicity 1)
Mn 0.636 0.000 0.499 (multiplicity 1)
As 0.581 0.500 0.271 (multiplicity 1)

* M_tot: 6.50 μB/cell
* VASP energy: -6.137 eV/atom
* formation energy from the elements: 0.03 eV per atom

***

# 12
## SrMn3As3 (PBE)

Data for crystalline SrMn3As3 at its relaxed geometry.

a = 6.8507 Å, b = 6.8507 Å, c = 22.3696 Å
α = 90.00°, β = 90.00°, γ = 120.00°
Space group R-3 (No. 148, hexagonal axes)
One atom of each set of equivalent atoms:
Sr 0.0000 0.0000 0.1657 (multiplicity 6)
Mn 0.0041 0.3242 0.9639 (multiplicity 18)
As 0.0078 0.3241 0.4058 (multiplicity 18)

* M_tot: 46.61 μB/cell
* VASP energy: -6.468 eV/atom
* formation energy from the elements: -0.31 eV per atom